(1)
A plane-wave DFT calculation with PBE was carried out for crystalline BeGa3Ni at its relaxed geometry.

Results
The value obtained for the formation energy is 0.50 eV/atom. Its total moment is 0.0 μB per formula unit. For the calculated total energy, the calculation gives -3.215 eV/atom. The density of states at the Fermi level comes out at 0.591 states/eV/atom. The space-group type is Pm-3m (221).

Lattice parameters (Å, degrees): 4.350 4.350 4.350 90.00 90.00 90.00
Element x y z (fractional)
Be 0.000 0.000 0.000
Ga 0.000 0.000 0.500
Ga 0.000 0.500 0.000
Ga 0.500 0.000 0.000
Ni 0.500 0.500 0.500

---

(2)
A plane-wave DFT calculation with PBE was carried out for crystalline Ho3Sc5 at its relaxed geometry.

Results
The value obtained for the formation energy is 0.03 eV/atom. Its total moment is 0.7 μB per formula unit. For the calculated total energy, the calculation gives -5.648 eV/atom. The density of states at the Fermi level comes out at 1.935 states/eV/atom. The space-group type is Pmm2 (25).

Lattice parameters (Å, degrees): 3.428 5.335 11.825 90.00 90.00 90.00
Element x y z (fractional)
Ho 0.000 0.000 0.000
Ho 0.000 0.500 0.178
Ho 0.500 0.000 0.269
Sc 0.000 0.000 0.517
Sc 0.000 0.500 0.677
Sc 0.500 0.000 0.752
Sc 0.500 0.500 0.438
Sc 0.500 0.500 0.915

---

(3)
A plane-wave DFT calculation with PBE was carried out for crystalline NaMnBi at its relaxed geometry.

Results
The value obtained for the formation energy is 0.02 eV/atom. Its total moment is 4.2 μB per formula unit. For the calculated total energy, the calculation gives -4.767 eV/atom. The density of states at the Fermi level comes out at 0.688 states/eV/atom. The space-group type is P4/nmm (129).

Lattice parameters (Å, degrees): 4.547 4.547 7.662 90.00 90.00 90.00
Element x y z (fractional)
Na 0.250 0.250 0.161
Na 0.750 0.750 0.839
Mn 0.250 0.750 0.500
Mn 0.750 0.250 0.500
Bi 0.250 0.250 0.727
Bi 0.750 0.750 0.273

---

(4)
A plane-wave DFT calculation with PBE was carried out for crystalline ScTaNi at its relaxed geometry.

Results
The value obtained for the formation energy is -0.15 eV/atom. Its total moment is 0.0 μB per formula unit. For the calculated total energy, the calculation gives -8.135 eV/atom. The density of states at the Fermi level comes out at 1.061 states/eV/atom. The space-group type is C2/m (12).

Lattice parameters (Å, degrees): 5.712 5.712 6.288 107.50 107.50 31.22
Element x y z (fractional)
Sc 0.147 0.147 0.323
Sc 0.853 0.853 0.677
Ta 0.158 0.158 0.834
Ta 0.842 0.842 0.166
Ni 0.500 0.500 0.000
Ni 0.500 0.500 0.500

---

(5)
A plane-wave DFT calculation with PBE was carried out for crystalline Ca2BiH at its relaxed geometry.

Results
Its total moment is 0.0 μB per formula unit. For the calculated total energy, the calculation gives -3.403 eV/atom. The density of states at the Fermi level comes out at 0.000 states/eV/atom. The space-group type is I-42d (122).

Lattice parameters (Å, degrees): 6.415 6.415 6.415 110.56 110.56 107.32
Element x y z (fractional)
Ca 0.032 0.625 0.907
Ca 0.375 0.282 0.407
Ca 0.718 0.125 0.093
Ca 0.875 0.968 0.593
Bi 0.250 0.750 0.500
Bi 0.500 0.500 0.000
H 0.000 0.000 0.000
H 0.750 0.250 0.500

---

(6)
A plane-wave DFT calculation with PBE was carried out for crystalline KCd2Sn2 at its relaxed geometry.

Results
The value obtained for the formation energy is -0.05 eV/atom. Its total moment is 0.0 μB per formula unit. For the calculated total energy, the calculation gives -2.238 eV/atom. The density of states at the Fermi level comes out at 0.516 states/eV/atom. The space-group type is P-1 (2).

Lattice parameters (Å, degrees): 6.648 6.663 9.046 68.75 79.09 63.27
Element x y z (fractional)
K 0.245 0.112 0.256
K 0.755 0.888 0.744
Cd 0.144 0.221 0.801
Cd 0.376 0.550 0.744
Cd 0.624 0.450 0.256
Cd 0.856 0.779 0.199
Sn 0.225 0.507 0.480
Sn 0.273 0.735 0.006
Sn 0.727 0.265 0.994
Sn 0.775 0.493 0.520

---

(7)
A plane-wave DFT calculation with PBE was carried out for crystalline ZrNbTl2 at its relaxed geometry.

Results
The value obtained for the formation energy is 0.33 eV/atom. Its total moment is 0.0 μB per formula unit. For the calculated total energy, the calculation gives -5.507 eV/atom. The density of states at the Fermi level comes out at 1.106 states/eV/atom. The space-group type is Fm-3m (225).

Lattice parameters (Å, degrees): 4.973 4.973 4.973 60.00 60.00 60.00
Element x y z (fractional)
Zr 0.000 0.000 0.000
Nb 0.500 0.500 0.500
Tl 0.250 0.250 0.250
Tl 0.750 0.750 0.750

---

(8)
A plane-wave DFT calculation with PBE was carried out for crystalline Tl2PbAu at its relaxed geometry.

Results
The value obtained for the formation energy is -0.01 eV/atom. Its total moment is 0.0 μB per formula unit. For the calculated total energy, the calculation gives -2.939 eV/atom. The density of states at the Fermi level comes out at 0.498 states/eV/atom. The space-group type is P2_1/m (11).

Lattice parameters (Å, degrees): 3.776 9.364 6.587 90.00 106.28 90.00
Element x y z (fractional)
Tl 0.133 0.058 0.269
Tl 0.133 0.442 0.269
Tl 0.867 0.558 0.731
Tl 0.867 0.942 0.731
Pb 0.445 0.250 0.896
Pb 0.555 0.750 0.104
Au 0.238 0.750 0.468
Au 0.762 0.250 0.532

---

(9)
A plane-wave DFT calculation with PBE was carried out for crystalline NbPbNF2 at its relaxed geometry.

Results
Its total moment is 1.4 μB per formula unit. For the calculated total energy, the calculation gives -6.370 eV/atom. The density of states at the Fermi level comes out at 0.463 states/eV/atom. The space-group type is P4/mmm (123). The formation energy without anion corrections comes out at -1.201 eV per atom.

Lattice parameters (Å, degrees): 4.393 4.393 4.083 90.00 90.00 90.00
Element x y z (fractional)
Nb 0.000 0.000 0.000
Pb 0.500 0.500 0.500
N 0.000 0.000 0.500
F 0.000 0.500 0.000
F 0.500 0.000 0.000

---

(10)
A plane-wave DFT calculation with PBE was carried out for crystalline AgPF3 at its relaxed geometry.

Results
Its total moment is 0.6 μB per formula unit. For the calculated total energy, the calculation gives -3.673 eV/atom. The density of states at the Fermi level comes out at 0.504 states/eV/atom. The space-group type is Pm-3m (221). The formation energy without anion corrections comes out at -0.898 eV per atom.

Lattice parameters (Å, degrees): 4.208 4.208 4.208 90.00 90.00 90.00
Element x y z (fractional)
Ag 0.000 0.000 0.000
P 0.500 0.500 0.500
F 0.000 0.500 0.500
F 0.500 0.000 0.500
F 0.500 0.500 0.000

---

(11)
A plane-wave DFT calculation with PBE was carried out for crystalline RbCeP2O6 at its relaxed geometry.

Results
Its total moment is 1.0 μB per formula unit. For the calculated total energy, the calculation gives -7.243 eV/atom. The density of states at the Fermi level comes out at 0.166 states/eV/atom. The space-group type is C2/c (15). The formation energy without anion corrections comes out at -2.496 eV per atom.

Lattice parameters (Å, degrees): 6.989 6.989 8.638 92.65 92.65 111.59
Element x y z (fractional)
Rb 0.089 0.911 0.750
Rb 0.911 0.089 0.250
Ce 0.336 0.664 0.250
Ce 0.664 0.336 0.750
P 0.250 0.510 0.812
P 0.490 0.750 0.688
P 0.510 0.250 0.312
P 0.750 0.490 0.188
O 0.032 0.458 0.733
O 0.264 0.597 0.981
O 0.321 0.325 0.796
O 0.325 0.321 0.296
O 0.403 0.736 0.519
O 0.458 0.032 0.233
O 0.542 0.968 0.767
O 0.597 0.264 0.481
O 0.675 0.679 0.704
O 0.679 0.675 0.204
O 0.736 0.403 0.019
O 0.968 0.542 0.267

---

(12)
A plane-wave DFT calculation with PBE was carried out for crystalline Y6Si3C at its relaxed geometry.

Results
Its total moment is 0.0 μB per formula unit. For the calculated total energy, the calculation gives -6.970 eV/atom. The density of states at the Fermi level comes out at 0.713 states/eV/atom. The space-group type is P2_1/c (14). The formation energy without anion corrections comes out at -0.542 eV per atom.

Lattice parameters (Å, degrees): 6.394 7.646 11.704 90.00 122.35 90.00
Element x y z (fractional)
Y 0.099 0.050 0.234
Y 0.099 0.450 0.734
Y 0.210 0.703 0.063
Y 0.210 0.797 0.563
Y 0.382 0.167 0.062
Y 0.382 0.333 0.562
Y 0.618 0.667 0.438
Y 0.618 0.833 0.938
Y 0.790 0.203 0.437
Y 0.790 0.297 0.937
Y 0.901 0.550 0.266
Y 0.901 0.950 0.766
Si 0.308 0.105 0.748
Si 0.308 0.395 0.248
Si 0.500 0.000 0.500
Si 0.500 0.500 0.000
Si 0.692 0.605 0.752
Si 0.692 0.895 0.252
C 0.000 0.000 0.000
C 0.000 0.500 0.500

---

(13)
A plane-wave DFT calculation with PBE was carried out for crystalline AlSiSe2 at its relaxed geometry.

Results
Its total moment is 0.0 μB per formula unit. For the calculated total energy, the calculation gives -4.198 eV/atom. The density of states at the Fermi level comes out at 0.370 states/eV/atom. The space-group type is P4mm (99). The formation energy without anion corrections comes out at -0.165 eV per atom.

Lattice parameters (Å, degrees): 3.863 3.863 5.501 90.00 90.00 90.00
Element x y z (fractional)
Al 0.000 0.000 0.000
Si 0.500 0.500 0.510
Se 0.000 0.000 0.493
Se 0.500 0.500 0.981

---

(14)
A plane-wave DFT calculation with PBE was carried out for crystalline CdTeRu at its relaxed geometry.

Results
Its total moment is 0.0 μB per formula unit. For the calculated total energy, the calculation gives -4.379 eV/atom. The density of states at the Fermi level comes out at 0.581 states/eV/atom. The space-group type is I4mm (107). The formation energy without anion corrections comes out at 0.065 eV per atom.

Lattice parameters (Å, degrees): 6.856 6.856 6.856 153.15 153.15 38.33
Element x y z (fractional)
Cd 0.000 0.000 0.000
Te 0.261 0.261 0.000
Ru 0.648 0.648 0.000

---

(15)
A plane-wave DFT calculation with PBE was carried out for crystalline Na2PrSn3Te6 at its relaxed geometry.

Results
Its total moment is 0.0 μB per formula unit. For the calculated total energy, the calculation gives -3.864 eV/atom. The density of states at the Fermi level comes out at 0.424 states/eV/atom. The space-group type is C2/m (12). The formation energy without anion corrections comes out at -0.674 eV per atom.

Lattice parameters (Å, degrees): 7.757 7.757 8.028 99.26 99.26 119.99
Element x y z (fractional)
Na 0.168 0.832 0.000
Na 0.832 0.168 0.000
Pr 0.500 0.500 0.000
Sn 0.000 0.000 0.500
Sn 0.337 0.663 0.500
Sn 0.663 0.337 0.500
Te 0.089 0.414 0.745
Te 0.260 0.260 0.261
Te 0.414 0.089 0.745
Te 0.586 0.911 0.255
Te 0.740 0.740 0.739
Te 0.911 0.586 0.255

---

(16)
A plane-wave DFT calculation with PBE was carried out for crystalline Na2ZrIn2 at its relaxed geometry.

Results
The value obtained for the formation energy is 0.21 eV/atom. Its total moment is 0.0 μB per formula unit. For the calculated total energy, the calculation gives -3.119 eV/atom. The density of states at the Fermi level comes out at 0.839 states/eV/atom. The space-group type is P4/mbm (127).

Lattice parameters (Å, degrees): 8.850 8.850 3.219 90.00 90.00 90.00
Element x y z (fractional)
Na 0.123 0.377 0.000
Na 0.377 0.877 0.000
Na 0.623 0.123 0.000
Na 0.877 0.623 0.000
Zr 0.000 0.000 0.500
Zr 0.500 0.500 0.500
In 0.179 0.679 0.500
In 0.321 0.179 0.500
In 0.679 0.821 0.500
In 0.821 0.321 0.500

---

(17)
A plane-wave DFT calculation with PBE was carried out for crystalline SrLa2Ni at its relaxed geometry.

Results
The value obtained for the formation energy is 0.32 eV/atom. Its total moment is 0.0 μB per formula unit. For the calculated total energy, the calculation gives -4.005 eV/atom. The density of states at the Fermi level comes out at 1.241 states/eV/atom. The space-group type is Cmmm (65).

Lattice parameters (Å, degrees): 5.290 5.290 4.352 90.00 90.00 90.11
Element x y z (fractional)
Sr 0.000 0.000 0.000
La 0.000 0.500 0.500
La 0.500 0.000 0.500
Ni 0.500 0.500 0.000

---

(18)
A plane-wave DFT calculation with PBE was carried out for crystalline Sr3Li2Rh7 at its relaxed geometry.

Results
The value obtained for the formation energy is -0.23 eV/atom. Its total moment is 0.0 μB per formula unit. For the calculated total energy, the calculation gives -5.253 eV/atom. The density of states at the Fermi level comes out at 1.244 states/eV/atom. The space-group type is R-3m (166).

Lattice parameters (Å, degrees): 9.246 9.246 9.246 34.11 34.11 34.11
Element x y z (fractional)
Sr 0.000 0.000 0.000
Sr 0.141 0.141 0.141
Sr 0.859 0.859 0.859
Li 0.336 0.336 0.336
Li 0.664 0.664 0.664
Rh 0.078 0.585 0.585
Rh 0.415 0.415 0.922
Rh 0.415 0.922 0.415
Rh 0.500 0.500 0.500
Rh 0.585 0.078 0.585
Rh 0.585 0.585 0.078
Rh 0.922 0.415 0.415

---

(19)
A plane-wave DFT calculation with PBE was carried out for crystalline Tl2IN at its relaxed geometry.

Results
Its total moment is 2.0 μB per formula unit. For the calculated total energy, the calculation gives -2.781 eV/atom. The density of states at the Fermi level comes out at 0.875 states/eV/atom. The space-group type is Fm-3m (225). The formation energy without anion corrections comes out at 0.871 eV per atom.

Lattice parameters (Å, degrees): 5.626 5.626 5.626 60.00 60.00 60.00
Element x y z (fractional)
Tl 0.250 0.250 0.250
Tl 0.750 0.750 0.750
I 0.000 0.000 0.000
N 0.500 0.500 0.500

---

(20)
A plane-wave DFT calculation with PBE was carried out for crystalline NiAu2Cl at its relaxed geometry.

Results
Its total moment is 0.8 μB per formula unit. For the calculated total energy, the calculation gives -3.490 eV/atom. The density of states at the Fermi level comes out at 0.599 states/eV/atom. The space-group type is Pm (6). The formation energy without anion corrections comes out at 0.056 eV per atom.

Lattice parameters (Å, degrees): 3.827 3.046 6.860 90.00 90.23 90.00
Element x y z (fractional)
Ni 0.000 0.000 0.000
Au 0.498 0.500 0.825
Au 0.997 0.000 0.613
Cl 0.002 0.500 0.241